Record 1
A relaxed structure of Sm2Tm2Th3. Source: Alexandria, functional PBE.

abc: 14.1693 3.5961 11.7634
angles: 90.00 126.41 90.00
Last column: nearest neighbours and their distance in Å.
Positions (direct):
Sm  0.1137  0.0000  0.3731  2 Tm 3.50, 4 Th 3.53-3.67, 4 Sm 3.60-3.66
Sm  0.3863  0.5000  0.6269  2 Tm 3.50, 4 Th 3.53-3.67, 4 Sm 3.60-3.66
Sm  0.6137  0.5000  0.3731  2 Tm 3.50, 4 Th 3.53-3.67, 4 Sm 3.60-3.66
Sm  0.8863  0.0000  0.6269  2 Tm 3.50, 4 Th 3.53-3.67, 4 Sm 3.60-3.66
Tm  0.1337  0.5000  0.8921  4 Tm 3.26-3.60, 5 Th 3.36-3.54, 2 Sm 3.50
Tm  0.3663  0.0000  0.1079  4 Tm 3.26-3.60, 5 Th 3.36-3.54, 2 Sm 3.50
Tm  0.6337  0.0000  0.8921  4 Tm 3.26-3.60, 5 Th 3.36-3.54, 2 Sm 3.50
Tm  0.8663  0.5000  0.1079  4 Tm 3.26-3.60, 5 Th 3.36-3.54, 2 Sm 3.50
Th  0.0000  0.0000  0.0000  4 Tm 3.36, 6 Th 3.54-3.60, 2 Sm 3.67
Th  0.2440  0.0000  0.7435  3 Tm 3.46-3.54, 3 Sm 3.53-3.58, 4 Th 3.54-3.60
Th  0.2560  0.5000  0.2565  3 Tm 3.46-3.54, 3 Sm 3.53-3.58, 4 Th 3.54-3.60
Th  0.5000  0.5000  0.0000  4 Tm 3.36, 6 Th 3.54-3.60, 2 Sm 3.67
Th  0.7440  0.5000  0.7435  3 Tm 3.46-3.54, 3 Sm 3.53-3.58, 4 Th 3.54-3.60
Th  0.7560  0.0000  0.2565  3 Tm 3.46-3.54, 3 Sm 3.53-3.58, 4 Th 3.54-3.60

Excess energy over the best structure of this formula in the dataset in meV/atom: 76.2
Energy relative to the elements in eV/atom: 0.22
Symmetry: No. 12

Record 2
A relaxed structure of SrMgO2. Source: Alexandria, functional PBE.

abc: 5.6749 5.6749 7.5878
angles: 90.00 90.00 90.00
Last column: nearest neighbours and their distance in Å.
Positions (direct):
Sr  0.0000  0.0000  0.0000  4 O 2.46
Sr  0.0000  0.5000  0.2500  4 O 2.46
Sr  0.5000  0.0000  0.7500  4 O 2.46
Sr  0.5000  0.5000  0.5000  4 O 2.46
Mg  0.0000  0.0000  0.5000  4 O 2.01
Mg  0.0000  0.5000  0.7500  4 O 2.01
Mg  0.5000  0.0000  0.2500  4 O 2.01
Mg  0.5000  0.5000  0.0000  4 O 2.01
O  0.1878  0.2500  0.6250  2 Mg 2.01
O  0.2500  0.6878  0.8750  2 Mg 2.01
O  0.2500  0.8122  0.3750  2 Mg 2.01
O  0.3122  0.2500  0.1250  2 Mg 2.01
O  0.6878  0.7500  0.1250  2 Mg 2.01
O  0.7500  0.1878  0.3750  2 Mg 2.01
O  0.7500  0.3122  0.8750  2 Mg 2.01
O  0.8122  0.7500  0.6250  2 Mg 2.01

Uncorrected formation energy in kJ/mol of atoms: -244.9
Symmetry: No. 122

Record 3
A relaxed structure of LiIBr. Source: Alexandria, functional PBE.

abc: 4.6528 6.1446 7.7909
angles: 80.34 86.88 72.95
Last column: nearest neighbours and their distance in Å.
Positions (direct):
Li  0.1964  0.2652  0.4275  2 Br 2.59-2.60, 1 I 2.80
Li  0.8036  0.7348  0.5725  2 Br 2.59-2.60, 1 I 2.80
I  0.2504  0.8917  0.7387  3 Li 2.80-3.01, 2 Br 3.07-3.08
I  0.7496  0.1083  0.2613  3 Li 2.80-3.01, 2 Br 3.07-3.08
Br  0.2374  0.3972  0.7226  2 Li 2.59-2.60
Br  0.7626  0.6028  0.2774  2 Li 2.59-2.60

Uncorrected formation energy in kJ/mol of atoms: -79.6
Symmetry: No. 2

Record 4
A relaxed structure of PrTm14Zr. Source: Alexandria, functional PBE.

abc: 6.9713 6.9713 9.7854
angles: 90.00 90.00 90.00
Last column: nearest neighbours and their distance in Å.
Positions (direct):
Pr  0.0000  0.0000  0.0000  12 Tm 3.49
Tm  0.0000  0.0000  0.5000  12 Tm 3.49-3.54
Tm  0.0000  0.5000  0.0000  8 Tm 3.45, 2 Zr 3.49, 2 Pr 3.49
Tm  0.0000  0.5000  0.5000  12 Tm 3.49-3.50
Tm  0.2556  0.2556  0.2464  10 Tm 3.41-3.56, 1 Zr 3.41, 1 Pr 3.49
Tm  0.2556  0.2556  0.7536  10 Tm 3.41-3.56, 1 Zr 3.41, 1 Pr 3.49
Tm  0.2556  0.7444  0.2464  10 Tm 3.41-3.56, 1 Zr 3.41, 1 Pr 3.49
Tm  0.2556  0.7444  0.7536  10 Tm 3.41-3.56, 1 Zr 3.41, 1 Pr 3.49
Tm  0.5000  0.0000  0.0000  8 Tm 3.45, 2 Zr 3.49, 2 Pr 3.49
Tm  0.5000  0.0000  0.5000  12 Tm 3.49-3.50
Tm  0.5000  0.5000  0.5000  12 Tm 3.46-3.49
Tm  0.7444  0.2556  0.2464  10 Tm 3.41-3.56, 1 Zr 3.41, 1 Pr 3.49
Tm  0.7444  0.2556  0.7536  10 Tm 3.41-3.56, 1 Zr 3.41, 1 Pr 3.49
Tm  0.7444  0.7444  0.2464  10 Tm 3.41-3.56, 1 Zr 3.41, 1 Pr 3.49
Tm  0.7444  0.7444  0.7536  10 Tm 3.41-3.56, 1 Zr 3.41, 1 Pr 3.49
Zr  0.5000  0.5000  0.0000  12 Tm 3.41-3.49

Energy relative to the elements in eV/atom: 0.04
Symmetry: No. 123

Record 5
A relaxed structure of CaCd3Br. Source: Alexandria, functional PBE.

abc: 5.7181 5.7181 5.7181
angles: 90.00 90.00 90.00
Last column: nearest neighbours and their distance in Å.
Positions (direct):
Ca  0.0000  0.0000  0.0000  12 Cd 4.04
Cd  0.0000  0.5000  0.5000  2 Br 2.86
Cd  0.5000  0.0000  0.5000  2 Br 2.86
Cd  0.5000  0.5000  0.0000  2 Br 2.86
Br  0.5000  0.5000  0.5000  6 Cd 2.86

Excess energy over the best structure of this formula in the dataset in meV/atom: 46.4
Uncorrected formation energy in kJ/mol of atoms: 21.8
Symmetry: No. 221

Record 6
A relaxed structure of K2SrLa. Source: Alexandria, functional PBE.

abc: 6.0022 6.0022 12.0768
angles: 90.00 90.00 90.00
Last column: nearest neighbours and their distance in Å.
Positions (direct):
K  0.0000  0.0000  0.0000  4 Sr 4.24, 4 La 4.26, 4 K 4.26
K  0.0000  0.5000  0.2500  4 La 4.24, 4 K 4.26, 4 Sr 4.26
K  0.5000  0.0000  0.7500  4 La 4.24, 4 K 4.26, 4 Sr 4.26
K  0.5000  0.5000  0.5000  4 Sr 4.24, 4 La 4.26, 4 K 4.26
Sr  0.0000  0.0000  0.5000  8 K 4.24-4.26, 4 La 4.26
Sr  0.5000  0.5000  0.0000  8 K 4.24-4.26, 4 La 4.26
La  0.0000  0.5000  0.7500  8 K 4.24-4.26, 4 Sr 4.26
La  0.5000  0.0000  0.2500  8 K 4.24-4.26, 4 Sr 4.26

Excess energy over the best structure of this formula in the dataset in meV/atom: 263.7
Energy relative to the elements in eV/atom: 0.46
Symmetry: No. 119

Repeat the third record exactly.
A relaxed structure of LiIBr. Source: Alexandria, functional PBE.

abc: 4.6528 6.1446 7.7909
angles: 80.34 86.88 72.95
Last column: nearest neighbours and their distance in Å.
Positions (direct):
Li  0.1964  0.2652  0.4275  2 Br 2.59-2.60, 1 I 2.80
Li  0.8036  0.7348  0.5725  2 Br 2.59-2.60, 1 I 2.80
I  0.2504  0.8917  0.7387  3 Li 2.80-3.01, 2 Br 3.07-3.08
I  0.7496  0.1083  0.2613  3 Li 2.80-3.01, 2 Br 3.07-3.08
Br  0.2374  0.3972  0.7226  2 Li 2.59-2.60
Br  0.7626  0.6028  0.2774  2 Li 2.59-2.60

Uncorrected formation energy in kJ/mol of atoms: -79.6
Symmetry: No. 2